## RbIr2Cl (GGA-PBE)

Data for RbIr2Cl after structural relaxation.

Values from the calculation:
Its density of states at the Fermi level is 8.87 states/eV per cell. The energy relative to the elements, uncorrected comes out at 0.662 eV/atom. Its magnetization is 0.0 μB per formula unit. For the relative energy among the computed polymorphs, the calculation gives 0.0 meV per atom.

a b c (Å): 8.413 8.413 8.413
angles (deg): 143.50 143.50 52.57
Atoms (fractional coordinates):
Rb: 0.375 0.625 0.750
Rb: 0.625 0.375 0.250
Ir: 0.000 0.000 0.000
Ir: 0.000 0.000 0.500
Ir: 0.000 0.500 0.000
Ir: 0.500 0.000 0.500
Cl: 0.125 0.875 0.250
Cl: 0.875 0.125 0.750